A plane-wave DFT calculation with GGA-PBE was carried out for RbPu2Br7 after structural relaxation.

a b c (Å): 8.7068 8.7068 5.7064
angles (deg): 90.00 90.00 116.45
Fractional positions:
Rb  0.0000  0.0000  0.0000
Pu  0.3045  0.6955  0.5000
Pu  0.6955  0.3045  0.5000
Br  0.0477  0.3254  0.5000
Br  0.2971  0.7029  0.0000
Br  0.3254  0.0477  0.5000
Br  0.5000  0.5000  0.5000
Br  0.6746  0.9523  0.5000
Br  0.7029  0.2971  0.0000
Br  0.9523  0.6746  0.5000

Properties
SG: No. 65
Crystal system: orthorhombic
Formation energy without anion corrections: -1.542 eV/atom
E: -5.6762 eV/atom
Total magnetic moment: 10.00 μB/f.u.